Entry from the Alexandria database: a geometry-optimized SnTe2P structure (GGA-PBE).

The energy above the most stable polymorph in this dataset is 0.186 eV per atom. The value obtained for the magnetization is 0.0 μB/cell. The calculation puts the density of states at the Fermi level at 2.22 states/eV per cell. The value obtained for the calculated total energy is -14.15 eV for the cell shown. Its space-group type is R-3m (166). Its crystal system is trigonal.

```
data_SnTe2P
_chemical_formula_sum 'Sn1 Te2 P1'
_symmetry_space_group_name_H-M 'P 1'
_symmetry_Int_Tables_number 1
_cell_length_a 9.211
_cell_length_b 9.211
_cell_length_c 9.211
_cell_angle_alpha 26.46
_cell_angle_beta 26.46
_cell_angle_gamma 26.46
loop_
_symmetry_equiv_pos_as_xyz
'x,y,z'
loop_
_atom_site_label
_atom_site_fract_x
_atom_site_fract_y
_atom_site_fract_z
Sn1 0.500 0.500 0.500
Te1 0.905 0.905 0.905
Te2 0.095 0.095 0.095
P1 0.000 0.000 0.000
```

Entry from the Alexandria database: a geometry-optimized WSeCl structure (GGA-PBE).

The energy above the most stable polymorph in this dataset is 2.028 eV per atom. The value obtained for the magnetization is 3.0 μB/cell. The calculation puts the density of states at the Fermi level at 1.37 states/eV per cell. The value obtained for the calculated total energy is -13.65 eV for the cell shown. Its space-group type is F-43m (216). Its crystal system is cubic.

```
data_WSeCl
_chemical_formula_sum 'W1 Se1 Cl1'
_symmetry_space_group_name_H-M 'P 1'
_symmetry_Int_Tables_number 1
_cell_length_a 4.469
_cell_length_b 4.469
_cell_length_c 4.469
_cell_angle_alpha 60.00
_cell_angle_beta 60.00
_cell_angle_gamma 60.00
loop_
_symmetry_equiv_pos_as_xyz
'x,y,z'
loop_
_atom_site_label
_atom_site_fract_x
_atom_site_fract_y
_atom_site_fract_z
Cl1 0.750 0.750 0.750
Se1 0.000 0.000 0.000
W1 0.500 0.500 0.500
```

What is the calculated total energy in the second record?
-13.65 eV for the cell shown

Which value of magnetization does entry 2 give?
3.0 μB/cell

Please write out number 2 again, unchanged.
Entry from the Alexandria database: a geometry-optimized WSeCl structure (GGA-PBE).

The energy above the most stable polymorph in this dataset is 2.028 eV per atom. The value obtained for the magnetization is 3.0 μB/cell. The calculation puts the density of states at the Fermi level at 1.37 states/eV per cell. The value obtained for the calculated total energy is -13.65 eV for the cell shown. Its space-group type is F-43m (216). Its crystal system is cubic.

```
data_WSeCl
_chemical_formula_sum 'W1 Se1 Cl1'
_symmetry_space_group_name_H-M 'P 1'
_symmetry_Int_Tables_number 1
_cell_length_a 4.469
_cell_length_b 4.469
_cell_length_c 4.469
_cell_angle_alpha 60.00
_cell_angle_beta 60.00
_cell_angle_gamma 60.00
loop_
_symmetry_equiv_pos_as_xyz
'x,y,z'
loop_
_atom_site_label
_atom_site_fract_x
_atom_site_fract_y
_atom_site_fract_z
Cl1 0.750 0.750 0.750
Se1 0.000 0.000 0.000
W1 0.500 0.500 0.500
```

Copy entry 1 word for word.
Entry from the Alexandria database: a geometry-optimized SnTe2P structure (GGA-PBE).

The energy above the most stable polymorph in this dataset is 0.186 eV per atom. The value obtained for the magnetization is 0.0 μB/cell. The calculation puts the density of states at the Fermi level at 2.22 states/eV per cell. The value obtained for the calculated total energy is -14.15 eV for the cell shown. Its space-group type is R-3m (166). Its crystal system is trigonal.

```
data_SnTe2P
_chemical_formula_sum 'Sn1 Te2 P1'
_symmetry_space_group_name_H-M 'P 1'
_symmetry_Int_Tables_number 1
_cell_length_a 9.211
_cell_length_b 9.211
_cell_length_c 9.211
_cell_angle_alpha 26.46
_cell_angle_beta 26.46
_cell_angle_gamma 26.46
loop_
_symmetry_equiv_pos_as_xyz
'x,y,z'
loop_
_atom_site_label
_atom_site_fract_x
_atom_site_fract_y
_atom_site_fract_z
Sn1 0.500 0.500 0.500
Te1 0.905 0.905 0.905
Te2 0.095 0.095 0.095
P1 0.000 0.000 0.000
```